Entry 1:
## KCeIn2 (GGA-PBE)

Data for a geometry-optimized KCeIn2 structure.

a = 6.0516 Å, b = 6.0516 Å, c = 3.3599 Å
α = 90.00°, β = 90.00°, γ = 90.00°
Space group P4/mmm (No. 123)
Asymmetric unit:
K 0.0000 0.0000 0.0000 x1
Ce 0.5000 0.5000 0.0000 x1
In 0.0000 0.5000 0.5000 x2

Properties
Density of states at the Fermi level   8.123 states/eV/cell
E above lowest polymorph   0.052 eV/atom
Formation energy   -0.10 eV/atom


Entry 2:
## AgHg2Ir (GGA-PBE)

Data for a geometry-optimized AgHg2Ir structure.

a = 3.1524 Å, b = 4.8092 Å, c = 4.8667 Å
α = 90.00°, β = 90.00°, γ = 90.00°
Space group Pmm2 (No. 25)
Asymmetric unit:
Ag 0.0000 0.0000 0.0000 x1
Hg 0.5000 0.0000 0.4879 x1
Hg 0.5000 0.5000 0.9223 x1
Ir 0.0000 0.5000 0.4192 x1

Properties
Density of states at the Fermi level   1.698 states/eV/cell
E above lowest polymorph   0.013 eV/atom
Formation energy   0.35 eV/atom


Entry 3:
## Sm3Ho2PuTe6 (GGA-PBE)

Data for a geometry-optimized Sm3Ho2PuTe6 structure.

a = 19.2434 Å, b = 4.3759 Å, c = 8.8579 Å
α = 90.00°, β = 103.68°, γ = 90.00°
Space group C2/m (No. 12)
Asymmetric unit:
Sm 0.0000 0.0000 0.0000 x2
Sm 0.1646 0.5000 0.3339 x4
Ho 0.1632 0.5000 0.8277 x4
Pu 0.0000 0.0000 0.5000 x2
Te 0.0016 0.5000 0.7494 x4
Te 0.1673 0.0000 0.5890 x4
Te 0.1703 0.0000 0.0777 x4

Properties
Density of states at the Fermi level   24.020 states/eV/cell
Uncorrected formation energy   -1.3066 eV per atom


Entry 4:
## ZrNb (GGA-PBE)

Data for a geometry-optimized ZrNb structure.

a = 7.6886 Å, b = 7.6886 Å, c = 7.6886 Å
α = 90.00°, β = 90.00°, γ = 90.00°
Space group Pm-3n (No. 223)
Asymmetric unit:
Zr 0.0000 0.2500 0.5000 x6
Nb 0.0000 0.5000 0.2500 x6

Properties
Density of states at the Fermi level   21.301 states/eV/cell
Formation energy   2.64 eV/atom


Entry 5:
## PdPb4Au (GGA-PBE)

Data for a geometry-optimized PdPb4Au structure.

a = 7.2144 Å, b = 7.2144 Å, c = 5.8694 Å
α = 90.00°, β = 90.00°, γ = 90.00°
Space group I422 (No. 97)
Asymmetric unit:
Pd 0.0000 0.0000 0.0000 x2
Pb 0.1606 0.3394 0.2500 x8
Au 0.0000 0.0000 0.5000 x2

Properties
Density of states at the Fermi level   5.846 states/eV/cell
E above lowest polymorph   0.000 eV/atom
Formation energy   -0.14 eV/atom


Entry 6:
## Co2SiTc (GGA-PBE)

Data for a geometry-optimized Co2SiTc structure.

a = 2.6606 Å, b = 2.6606 Å, c = 6.5140 Å
α = 90.00°, β = 90.00°, γ = 90.00°
Space group P4/mmm (No. 123)
Asymmetric unit:
Co 0.0000 0.0000 0.2130 x2
Si 0.5000 0.5000 0.0000 x1
Tc 0.5000 0.5000 0.5000 x1

Properties
Density of states at the Fermi level   2.682 states/eV/cell
Uncorrected formation energy   -0.2705 eV per atom